Record 1
VASP calculation (PBE) on Li23MgAg6 after structural relaxation.

a = 9.105 Å, b = 9.105 Å, c = 9.105 Å
α = 60.00°, β = 60.00°, γ = 60.00°
Sites, in units of the cell vectors:
Mg 0.500 0.500 0.500
Ag 0.745 0.745 0.255
Ag 0.745 0.255 0.745
Ag 0.255 0.745 0.745
Ag 0.255 0.255 0.745
Ag 0.255 0.745 0.255
Ag 0.745 0.255 0.255
Li 0.500 0.500 0.000
Li 0.893 0.369 0.369
Li 0.124 0.124 0.628
Li 0.631 0.631 0.107
Li 0.124 0.628 0.124
Li 0.876 0.876 0.372
Li 0.107 0.631 0.631
Li 0.369 0.893 0.369
Li 0.631 0.631 0.631
Li 0.628 0.124 0.124
Li 0.000 0.500 0.000
Li 0.369 0.369 0.893
Li 0.124 0.124 0.124
Li 0.631 0.107 0.631
Li 0.372 0.876 0.876
Li 0.500 0.000 0.500
Li 0.000 0.500 0.500
Li 0.000 0.000 0.000
Li 0.876 0.876 0.876
Li 0.369 0.369 0.369
Li 0.876 0.372 0.876
Li 0.000 0.000 0.500
Li 0.500 0.000 0.000

Properties
SG   Fm-3m (225)
Formation enthalpy at 0 K   -0.079 eV/atom
Crystal system   cubic
Size of the total moment   0.00 μB/f.u.

=====

Record 2
VASP calculation (PBE) on Li6Mg3Ag after structural relaxation.

a = 7.035 Å, b = 7.035 Å, c = 7.035 Å
α = 60.00°, β = 60.00°, γ = 60.00°
Sites, in units of the cell vectors:
Mg 0.750 0.750 0.750
Mg 0.250 0.250 0.250
Mg 0.500 0.500 0.500
Li 0.243 0.243 0.757
Li 0.243 0.757 0.243
Li 0.757 0.243 0.757
Li 0.757 0.757 0.243
Li 0.757 0.243 0.243
Li 0.243 0.757 0.757
Ag 0.000 0.000 0.000

Properties
SG   Fm-3m (225)
Formation enthalpy at 0 K   0.247 eV/atom
Crystal system   cubic
E above lowest polymorph   0.328 eV/atom
Size of the total moment   0.00 μB/f.u.

=====

Record 3
VASP calculation (PBE) on Li2Mg2Ag5 after structural relaxation.

a = 5.090 Å, b = 4.996 Å, c = 9.689 Å
α = 126.82°, β = 109.54°, γ = 100.80°
Sites, in units of the cell vectors:
Li 0.532 0.863 0.097
Li 0.468 0.137 0.903
Ag 0.000 0.000 0.000
Ag 0.670 0.649 0.330
Ag 0.887 0.213 0.781
Ag 0.113 0.787 0.219
Ag 0.330 0.351 0.670
Mg 0.222 0.566 0.435
Mg 0.778 0.434 0.565

Properties
SG   P-1 (2)
Formation enthalpy at 0 K   -0.183 eV/atom
Crystal system   triclinic
E above lowest polymorph   0.000 eV/atom
Size of the total moment   0.00 μB/f.u.

=====

Record 4
VASP calculation (PBE) on Li5Mg12Ag2 after structural relaxation.

a = 4.733 Å, b = 10.462 Å, c = 10.462 Å
α = 53.11°, β = 76.87°, γ = 76.87°
Sites, in units of the cell vectors:
Ag 0.000 0.760 0.240
Ag 0.000 0.240 0.760
Mg 0.198 0.060 0.545
Mg 0.802 0.940 0.455
Mg 0.094 0.906 0.906
Mg 0.912 0.585 0.585
Mg 0.198 0.545 0.060
Mg 0.411 0.822 0.354
Mg 0.802 0.455 0.940
Mg 0.906 0.094 0.094
Mg 0.589 0.178 0.646
Mg 0.589 0.646 0.178
Mg 0.088 0.415 0.415
Mg 0.411 0.354 0.822
Li 0.500 0.000 0.000
Li 0.306 0.194 0.194
Li 0.706 0.295 0.295
Li 0.694 0.806 0.806
Li 0.294 0.705 0.705

Properties
SG   C2/m (12)
Formation enthalpy at 0 K   -0.069 eV/atom
Crystal system   monoclinic
E above lowest polymorph   0.000 eV/atom
Size of the total moment   0.00 μB/f.u.

=====

Record 5
VASP calculation (PBE) on Li10Mg6Ag after structural relaxation.

a = 5.665 Å, b = 8.394 Å, c = 8.394 Å
α = 120.00°, β = 90.00°, γ = 90.00°
Sites, in units of the cell vectors:
Li 0.000 0.333 0.667
Li 0.500 0.333 0.667
Li 0.000 0.667 0.333
Li 0.791 0.259 0.000
Li 0.500 0.667 0.333
Li 0.209 0.000 0.741
Li 0.209 0.741 0.000
Li 0.209 0.259 0.259
Li 0.791 0.000 0.259
Li 0.791 0.741 0.741
Mg 0.284 0.385 0.000
Mg 0.716 0.000 0.615
Mg 0.716 0.615 0.000
Mg 0.716 0.385 0.385
Mg 0.284 0.615 0.615
Mg 0.284 0.000 0.385
Ag 0.500 0.000 0.000

Properties
SG   P-31m (162)
Formation enthalpy at 0 K   -0.008 eV/atom
Crystal system   trigonal
Size of the total moment   0.00 μB/f.u.

=====

Record 6
VASP calculation (PBE) on LiMg2Ag after structural relaxation.

a = 3.356 Å, b = 3.361 Å, c = 6.750 Å
α = 90.00°, β = 90.00°, γ = 90.00°
Sites, in units of the cell vectors:
Li 0.500 0.500 0.724
Mg 0.000 0.000 0.976
Mg 0.500 0.500 0.278
Ag 0.000 0.000 0.521

Properties
SG   P4mm (99)
Formation enthalpy at 0 K   -0.152 eV/atom
Crystal system   tetragonal
E above lowest polymorph   0.059 eV/atom
Size of the total moment   0.00 μB/f.u.

=====

Record 7
VASP calculation (PBE) on Li7MgAg12 after structural relaxation.

a = 7.187 Å, b = 7.187 Å, c = 7.187 Å
α = 89.71°, β = 89.71°, γ = 89.71°
Sites, in units of the cell vectors:
Mg 0.000 0.000 0.000
Li 0.170 0.397 0.024
Li 0.500 0.500 0.500
Li 0.976 0.830 0.603
Li 0.830 0.603 0.976
Li 0.397 0.024 0.170
Li 0.603 0.976 0.830
Li 0.024 0.170 0.397
Ag 0.276 0.752 0.875
Ag 0.837 0.503 0.395
Ag 0.248 0.125 0.724
Ag 0.724 0.248 0.125
Ag 0.125 0.724 0.248
Ag 0.163 0.497 0.605
Ag 0.395 0.837 0.503
Ag 0.497 0.605 0.163
Ag 0.875 0.276 0.752
Ag 0.752 0.875 0.276
Ag 0.605 0.163 0.497
Ag 0.503 0.395 0.837

Properties
SG   R-3 (148)
Formation enthalpy at 0 K   -0.089 eV/atom
Crystal system   trigonal
Size of the total moment   0.00 μB/f.u.

=====

Record 8
VASP calculation (PBE) on Li4MgAg after structural relaxation.

a = 5.283 Å, b = 5.283 Å, c = 5.283 Å
α = 60.00°, β = 60.00°, γ = 60.00°
Sites, in units of the cell vectors:
Li 0.374 0.374 0.374
Li 0.877 0.374 0.374
Li 0.374 0.877 0.374
Li 0.374 0.374 0.877
Ag 0.000 0.000 0.000
Mg 0.750 0.750 0.750

Properties
SG   F-43m (216)
Formation enthalpy at 0 K   -0.006 eV/atom
Crystal system   cubic
E above lowest polymorph   0.112 eV/atom
Size of the total moment   0.30 μB/f.u.

=====

Record 9
VASP calculation (PBE) on LiMg4Ag7 after structural relaxation.

a = 5.241 Å, b = 4.735 Å, c = 9.671 Å
α = 103.73°, β = 76.31°, γ = 89.88°
Sites, in units of the cell vectors:
Li 0.000 0.000 0.000
Mg 0.380 0.386 0.776
Mg 0.176 0.139 0.279
Mg 0.620 0.614 0.224
Mg 0.824 0.861 0.721
Ag 0.185 0.547 0.095
Ag 0.384 0.786 0.573
Ag 0.038 0.294 0.587
Ag 0.616 0.214 0.427
Ag 0.962 0.706 0.413
Ag 0.500 0.000 0.000
Ag 0.815 0.453 0.905

Properties
SG   P-1 (2)
Formation enthalpy at 0 K   -0.145 eV/atom
Crystal system   triclinic
E above lowest polymorph   0.000 eV/atom
Size of the total moment   0.00 μB/f.u.

=====

Record 10
VASP calculation (PBE) on Li7MgAg3 after structural relaxation.

a = 6.586 Å, b = 6.039 Å, c = 6.039 Å
α = 120.00°, β = 90.00°, γ = 90.00°
Sites, in units of the cell vectors:
Li 0.088 0.160 0.320
Li 0.476 0.840 0.160
Li 0.120 0.667 0.333
Li 0.088 0.160 0.840
Li 0.476 0.321 0.160
Li 0.088 0.680 0.840
Li 0.476 0.840 0.679
Ag 0.785 0.502 0.498
Ag 0.785 0.502 0.005
Ag 0.785 0.995 0.498
Mg 0.447 0.333 0.667

Properties
SG   P3m1 (156)
Formation enthalpy at 0 K   -0.045 eV/atom
Crystal system   trigonal
E above lowest polymorph   0.074 eV/atom
Size of the total moment   0.00 μB/f.u.

=====

Record 11
VASP calculation (PBE) on Li10Mg4Ag after structural relaxation.

a = 10.446 Å, b = 7.253 Å, c = 7.896 Å
α = 51.05°, β = 48.58°, γ = 43.94°
Sites, in units of the cell vectors:
Li 0.646 0.500 0.500
Li 0.354 0.500 0.500
Li 0.771 0.428 0.756
Li 0.095 0.089 0.217
Li 0.598 0.089 0.217
Li 0.955 0.572 0.244
Li 0.905 0.911 0.783
Li 0.229 0.572 0.244
Li 0.045 0.428 0.756
Li 0.402 0.911 0.783
Mg 0.761 0.981 0.496
Mg 0.239 0.019 0.504
Mg 0.377 0.325 0.921
Mg 0.623 0.675 0.079
Ag 0.000 0.000 0.000

Properties
SG   C2/m (12)
Formation enthalpy at 0 K   -0.007 eV/atom
Crystal system   monoclinic
Size of the total moment   0.00 μB/f.u.

=====

Record 12
VASP calculation (PBE) on Li3MgAg6 after structural relaxation.

a = 7.069 Å, b = 7.069 Å, c = 7.069 Å
α = 88.82°, β = 88.82°, γ = 88.82°
Sites, in units of the cell vectors:
Ag 0.654 0.884 0.555
Ag 0.645 0.230 0.766
Ag 0.884 0.555 0.654
Ag 0.766 0.645 0.230
Ag 0.770 0.234 0.355
Ag 0.346 0.116 0.445
Ag 0.555 0.654 0.884
Ag 0.355 0.770 0.234
Ag 0.230 0.766 0.645
Ag 0.234 0.355 0.770
Ag 0.445 0.346 0.116
Ag 0.116 0.445 0.346
Li 0.864 0.375 0.007
Li 0.007 0.864 0.375
Li 0.136 0.625 0.993
Li 0.625 0.993 0.136
Li 0.375 0.007 0.864
Li 0.993 0.136 0.625
Mg 0.500 0.500 0.500
Mg 0.000 0.000 0.000

Properties
SG   R-3 (148)
Formation enthalpy at 0 K   -0.082 eV/atom
Crystal system   trigonal
E above lowest polymorph   0.101 eV/atom
Size of the total moment   0.00 μB/f.u.

=====

Record 13
VASP calculation (PBE) on Li12MgAg7 after structural relaxation.

a = 7.203 Å, b = 7.203 Å, c = 7.203 Å
α = 103.12°, β = 103.12°, γ = 103.12°
Sites, in units of the cell vectors:
Li 0.740 0.999 0.260
Li 0.260 0.740 0.999
Li 0.588 0.586 0.179
Li 0.412 0.414 0.821
Li 0.821 0.412 0.414
Li 0.586 0.179 0.588
Li 0.414 0.821 0.412
Li 0.179 0.588 0.586
Li 0.999 0.260 0.740
Li 0.740 0.260 0.001
Li 0.260 0.001 0.740
Li 0.001 0.740 0.260
Ag 0.841 0.571 0.842
Ag 0.159 0.429 0.158
Ag 0.842 0.841 0.571
Ag 0.429 0.158 0.159
Ag 0.500 0.500 0.500
Ag 0.158 0.159 0.429
Ag 0.571 0.842 0.841
Mg 0.000 0.000 0.000

Properties
SG   R-3 (148)
Formation enthalpy at 0 K   -0.120 eV/atom
Crystal system   trigonal
Size of the total moment   0.00 μB/f.u.

=====

Record 14
VASP calculation (PBE) on LiMg2Ag5 after structural relaxation.

a = 4.488 Å, b = 5.994 Å, c = 5.994 Å
α = 90.00°, β = 90.00°, γ = 90.00°
Sites, in units of the cell vectors:
Ag 0.500 0.000 0.000
Ag 0.000 0.274 0.726
Ag 0.000 0.274 0.274
Ag 0.000 0.726 0.274
Ag 0.000 0.726 0.726
Li 0.000 0.000 0.000
Mg 0.500 0.000 0.500
Mg 0.500 0.500 0.000

Properties
SG   P4/mmm (123)
Formation enthalpy at 0 K   0.125 eV/atom
Crystal system   tetragonal
E above lowest polymorph   0.310 eV/atom
Size of the total moment   0.00 μB/f.u.

=====

Record 15
VASP calculation (PBE) on Li7Mg3Ag2 after structural relaxation.

a = 3.149 Å, b = 4.719 Å, c = 15.486 Å
α = 95.66°, β = 90.00°, γ = 90.00°
Sites, in units of the cell vectors:
Li 0.500 0.157 0.175
Li 0.500 0.262 0.538
Li 0.500 0.738 0.462
Li 0.000 0.653 0.154
Li 0.000 0.347 0.846
Li 0.500 0.843 0.825
Li 0.000 0.000 0.000
Ag 0.500 0.690 0.293
Ag 0.500 0.310 0.707
Mg 0.000 0.793 0.649
Mg 0.000 0.207 0.351
Mg 0.500 0.500 0.000

Properties
SG   P2/m (10)
Formation enthalpy at 0 K   -0.076 eV/atom
Crystal system   monoclinic
Size of the total moment   0.00 μB/f.u.

=====

Record 16
VASP calculation (PBE) on Li2MgAg after structural relaxation.

a = 5.626 Å, b = 5.626 Å, c = 2.938 Å
α = 77.30°, β = 77.30°, γ = 119.30°
Sites, in units of the cell vectors:
Ag 0.000 0.500 0.500
Li 0.000 0.000 0.000
Li 0.500 0.500 0.000
Mg 0.500 0.000 0.500

Properties
SG   C2/m (12)
Formation enthalpy at 0 K   -0.115 eV/atom
Crystal system   monoclinic
Size of the total moment   0.00 μB/f.u.

=====

Record 17
VASP calculation (PBE) on LiMg6Ag12 after structural relaxation.

a = 7.077 Å, b = 7.077 Å, c = 7.077 Å
α = 91.72°, β = 91.72°, γ = 91.72°
Sites, in units of the cell vectors:
Ag 0.795 0.536 0.447
Ag 0.639 0.966 0.857
Ag 0.553 0.205 0.464
Ag 0.966 0.857 0.639
Ag 0.205 0.464 0.553
Ag 0.143 0.361 0.034
Ag 0.857 0.639 0.966
Ag 0.464 0.553 0.205
Ag 0.536 0.447 0.795
Ag 0.361 0.034 0.143
Ag 0.034 0.143 0.361
Ag 0.447 0.795 0.536
Mg 0.116 0.732 0.287
Mg 0.287 0.116 0.732
Mg 0.884 0.268 0.713
Mg 0.732 0.287 0.116
Mg 0.713 0.884 0.268
Mg 0.268 0.713 0.884
Li 0.000 0.000 0.000

Properties
SG   R-3 (148)
Formation enthalpy at 0 K   -0.110 eV/atom
Crystal system   trigonal
Size of the total moment   0.00 μB/f.u.

=====

Record 18
VASP calculation (PBE) on Li4Mg4Ag3 after structural relaxation.

a = 2.994 Å, b = 4.677 Å, c = 14.699 Å
α = 81.72°, β = 83.19°, γ = 89.47°
Sites, in units of the cell vectors:
Li 0.261 0.454 0.084
Li 0.072 0.182 0.642
Li 0.928 0.818 0.358
Li 0.739 0.546 0.916
Ag 0.135 0.635 0.738
Ag 0.865 0.365 0.262
Ag 0.000 0.000 0.000
Mg 0.687 0.722 0.560
Mg 0.313 0.278 0.440
Mg 0.515 0.094 0.821
Mg 0.485 0.906 0.179

Properties
SG   P-1 (2)
Formation enthalpy at 0 K   -0.148 eV/atom
Crystal system   triclinic
E above lowest polymorph   0.000 eV/atom
Size of the total moment   0.00 μB/f.u.

=====

Record 19
VASP calculation (PBE) on Li8Mg2Ag3 after structural relaxation.

a = 5.135 Å, b = 7.138 Å, c = 7.138 Å
α = 84.55°, β = 71.45°, γ = 71.46°
Sites, in units of the cell vectors:
Li 0.771 0.428 0.428
Li 0.663 0.093 0.596
Li 0.933 0.135 0.135
Li 0.067 0.865 0.865
Li 0.337 0.907 0.404
Li 0.337 0.404 0.907
Li 0.229 0.572 0.572
Li 0.663 0.596 0.093
Mg 0.658 0.705 0.705
Mg 0.342 0.295 0.295
Ag 0.000 0.732 0.268
Ag 0.500 0.000 0.000
Ag 0.000 0.268 0.732

Properties
SG   C2/m (12)
Formation enthalpy at 0 K   -0.069 eV/atom
Crystal system   monoclinic
E above lowest polymorph   0.000 eV/atom
Size of the total moment   0.00 μB/f.u.

=====

Number 1: total energy -2.170 eV/atom, DOS(E_F) 20.08 states/eV/cell, calculated density 2.586 Mg/m³. Number 2: total energy -1.665 eV/atom, DOS(E_F) 3.48 states/eV/cell, calculated density 1.500 Mg/m³. Number 3: total energy -2.547 eV/atom, DOS(E_F) 2.41 states/eV/cell, calculated density 6.269 Mg/m³. Number 4: total energy -1.880 eV/atom, DOS(E_F) 7.51 states/eV/cell, calculated density 2.246 Mg/m³. Number 5: total energy -1.864 eV/atom, DOS(E_F) 5.00 states/eV/cell, calculated density 1.552 Mg/m³. Number 6: total energy -2.141 eV/atom, DOS(E_F) 1.21 states/eV/cell, calculated density 3.564 Mg/m³. Number 7: total energy -2.550 eV/atom, DOS(E_F) 7.37 states/eV/cell, calculated density 6.115 Mg/m³. Number 8: total energy -2.023 eV/atom, DOS(E_F) 3.60 states/eV/cell, calculated density 2.547 Mg/m³. Number 9: total energy -2.500 eV/atom, DOS(E_F) 4.33 states/eV/cell, calculated density 6.311 Mg/m³. Number 10: total energy -2.185 eV/atom, DOS(E_F) 2.99 states/eV/cell, calculated density 3.166 Mg/m³. Number 11: total energy -1.898 eV/atom, DOS(E_F) 7.14 states/eV/cell, calculated density 1.531 Mg/m³. Number 12: total energy -2.526 eV/atom, DOS(E_F) 4.19 states/eV/cell, calculated density 6.514 Mg/m³. Number 13: total energy -2.346 eV/atom, DOS(E_F) 6.50 states/eV/cell, calculated density 4.228 Mg/m³. Number 14: total energy -2.295 eV/atom, DOS(E_F) 2.88 states/eV/cell, calculated density 6.127 Mg/m³. Number 15: total energy -2.067 eV/atom, DOS(E_F) 4.65 states/eV/cell, calculated density 2.445 Mg/m³. Number 16: total energy -2.184 eV/atom, DOS(E_F) 1.60 states/eV/cell, calculated density 3.321 Mg/m³. Number 17: total energy -2.515 eV/atom, DOS(E_F) 5.26 states/eV/cell, calculated density 6.789 Mg/m³. Number 18: total energy -2.202 eV/atom, DOS(E_F) 3.80 states/eV/cell, calculated density 3.684 Mg/m³. Number 19: total energy -2.150 eV/atom, DOS(E_F) 4.66 states/eV/cell, calculated density 3.020 Mg/m³.